44
Lattice="-1.538 -4.713 -8.201 -7.790 -6.062 4.946 -8.200 8.100 -2.987" Properties=species:S:1:pos:R:3 comment="FeS3N2Cl5 (PBE, relaxed)" raw_formation_energy_ev_per_atom=-0.192 e_tot_ev_per_atom=-4.440 m_tot_mub_per_fu=5.00 pbc="T T T"
S -7.599 3.986 -6.151
S -9.955 2.318 0.417
S -7.574 -4.993 -6.659
Cl -10.314 -6.108 -4.241
S -3.554 -0.093 0.324
Cl -6.382 -2.638 -1.186
S -9.929 -6.662 -0.091
N -6.267 0.808 0.356
Fe -6.138 -2.233 -3.377
S -12.484 -4.106 -5.824
Cl -5.909 -1.564 -7.573
N -10.188 -5.259 -0.736
Cl -8.027 -2.744 -4.396
Cl -9.616 -9.019 -2.266
Cl -7.913 6.344 -3.976
Cl -11.917 -2.562 -2.581
Cl -10.031 -4.652 2.921
S -13.975 -2.582 -6.566
N -7.341 2.583 -5.506
Fe -7.657 5.584 -1.921
Cl -6.702 -6.283 -2.282
Cl -11.015 1.165 -8.916
S -8.502 1.539 -5.219
S -9.026 -4.214 -1.023
Cl -11.147 -0.037 -5.056
Cl -11.619 -1.111 1.331
N -11.451 2.758 0.558
N -9.192 4.014 -6.472
S -7.369 -5.609 -0.386
Cl -13.008 0.794 -2.038
Cl -7.214 3.433 -2.001
N -6.078 -5.433 -6.800
S -10.159 2.933 -5.856
Cl -10.827 3.608 -3.960
Cl -7.497 1.976 -9.163
N -11.262 -3.483 -6.598
Fe -9.871 -8.260 -4.321
Cl -9.501 0.069 -1.846
Cl -6.514 -3.840 2.674
N -8.336 -6.689 0.230
Cl -4.520 -3.470 -4.204
S -5.044 1.431 -0.418
Fe -11.390 -0.442 -2.865
Cl -5.612 -0.114 -3.661

***

5
Lattice="-2.757 0.441 -3.649 0.094 -5.534 -0.740 -3.675 -0.427 2.725" Properties=species:S:1:pos:R:3 comment="KMgVW2 (PBE, relaxed)" e_tot_ev_per_atom=-5.762 m_tot_mub_per_fu=0.00 ef_kj_per_mol_atoms=172 n_ef_per_ev_cell=7.006 pbc="T T T"
W -1.837 -0.213 1.363
V 0.000 0.000 0.000
W -1.379 0.221 -1.825
Mg -3.169 -2.760 -0.832
K 0.047 -2.767 -0.370

***

4
Lattice="3.200 0.000 0.000 0.000 3.200 0.000 0.000 0.000 8.456" Properties=species:S:1:pos:R:3 comment="CrRuPb2 (PBE, relaxed)" e_tot_ev_per_atom=-6.252 m_tot_mub_per_fu=2.20 relative_energy_ev_per_atom=0.000 ef_kj_per_mol_atoms=32 n_ef_per_ev_cell=4.553 pbc="T T T"
Cr 1.600 1.600 5.879
Pb 1.600 1.600 2.667
Ru 0.000 0.000 4.702
Pb 0.000 0.000 7.890

***

7
Lattice="4.174 0.000 -1.142 -0.943 6.675 -3.444 0.053 -0.004 8.393" Properties=species:S:1:pos:R:3 comment="Y2TmTe4 (PBE, relaxed)" raw_formation_energy_ev_per_atom=-1.382 e_tot_ev_per_atom=-5.663 m_tot_mub_per_fu=0.00 relative_energy_ev_per_atom=0.000 n_ef_per_ev_cell=3.503 pbc="T T T"
Y 0.871 1.609 3.183
Te 0.927 4.742 3.387
Tm 0.000 0.000 0.000
Y 2.414 5.062 0.623
Te 2.358 1.929 0.418
Te 3.523 1.415 4.677
Te -0.238 5.255 -0.871

***

19
Lattice="-5.587 -6.552 0.286 4.793 -2.449 -6.727 5.249 -2.263 6.446" Properties=species:S:1:pos:R:3 comment="Er12Bi6Os (PBE, relaxed)" e_tot_ev_per_atom=-5.122 m_tot_mub_per_fu=0.00 ef_kj_per_mol_atoms=-41 n_ef_per_ev_cell=11.728 pbc="T T T"
Er 6.086 -3.532 -4.695
Er -3.779 -7.433 -1.425
Er 3.785 -4.438 6.127
Er 0.130 -4.955 1.425
Os 0.000 0.000 0.000
Er 3.098 -6.794 2.188
Er -1.631 -7.733 4.700
Bi 2.176 -3.871 3.515
Er 1.358 -4.470 -2.183
Bi 2.279 -7.394 -3.510
Bi 5.945 -5.942 1.240
Bi -1.489 -5.323 -1.235
Er 3.650 -3.563 0.764
Er 8.235 -3.832 1.430
Er 4.326 -6.310 -1.420
Bi 0.286 -8.180 2.279
Bi 4.170 -3.085 -2.275
Er 0.806 -7.702 -0.759
Er 0.670 -6.827 -6.122

***

19
Lattice="-7.152 -7.389 -5.791 1.976 -6.462 5.360 -2.995 14.116 1.809" Properties=species:S:1:pos:R:3 comment="TiGa6Br12 (PBE, relaxed)" raw_formation_energy_ev_per_atom=-0.717 e_tot_ev_per_atom=-3.144 m_tot_mub_per_fu=2.00 n_ef_per_ev_cell=1.279 pbc="T T T"
Ti -8.047 0.309 1.377
Br -5.869 -8.667 -0.358
Br -3.065 -4.045 1.079
Ga -5.802 -2.534 -0.105
Br -2.033 5.606 5.649
Ga -5.007 1.133 1.264
Br -6.639 0.627 -0.809
Br -6.214 -5.288 -4.149
Br -5.263 4.241 0.279
Br -8.108 5.258 -2.944
Br 0.076 -5.015 4.310
Ga -4.460 9.781 1.179
Br -2.375 8.978 1.864
Ga -2.298 2.694 1.530
Br -2.749 -8.306 1.988
Br -1.494 -0.465 2.011
Ga -3.247 -0.768 -0.007
Ga -3.766 -9.489 0.249
Br -5.357 8.593 -0.624

***

16
Lattice="4.485 0.000 -0.009 0.000 4.769 0.000 0.011 0.000 5.655" Properties=species:S:1:pos:R:3 comment="FeH2Rh (PBE, relaxed)" e_tot_ev_per_atom=-5.637 m_tot_mub_per_fu=2.84 n_ef_per_ev_cell=7.936 pbc="T T T"
Fe 1.131 4.378 4.997
Fe 1.122 1.993 0.654
H 2.244 3.576 0.610
H 2.250 3.577 3.658
H 4.488 1.192 1.984
H 2.246 1.192 1.988
Rh 1.125 4.409 2.058
Rh 3.371 0.360 3.589
Rh 1.128 2.024 3.593
H 0.001 3.578 0.614
Fe 3.374 2.775 4.992
H 0.008 3.577 3.663
Fe 3.365 0.391 0.650
H 4.495 1.191 5.032
H 2.252 1.193 5.037
Rh 3.368 2.745 2.054

***

16
Lattice="-3.724 -3.132 -2.408 5.195 -1.572 0.130 -3.293 -9.449 17.385" Properties=species:S:1:pos:R:3 comment="Nd5ErAl2 (PBE, relaxed)" e_tot_ev_per_atom=-4.518 m_tot_mub_per_fu=0.00 ef_kj_per_mol_atoms=-3 n_ef_per_ev_cell=25.049 pbc="T T T"
Nd -2.217 -6.818 6.178
Nd -0.511 -1.467 2.699
Al -3.709 -11.098 14.052
Nd 0.395 -7.334 8.929
Er 1.398 -4.454 3.630
Al 1.886 -3.054 1.055
Al -2.733 -8.299 8.902
Nd -0.248 -9.178 12.323
Nd -2.782 -7.982 14.686
Er -3.221 -9.698 11.477
Nd -1.574 -4.974 2.784
Nd -2.158 -6.191 11.391
Nd -0.891 -11.023 15.716
Nd -0.932 -3.130 -0.609
Al 0.911 -5.853 6.205
Nd -1.135 -3.258 5.994

***

12
Lattice="5.597 0.000 0.000 -2.799 9.372 -0.703 0.000 -4.893 8.142" Properties=species:S:1:pos:R:3 comment="AcNd3Tl2 (PBE, relaxed)" e_tot_ev_per_atom=-4.047 m_tot_mub_per_fu=0.00 relative_energy_ev_per_atom=0.054 ef_kj_per_mol_atoms=-18 n_ef_per_ev_cell=13.218 pbc="T T T"
Tl 0.000 0.074 6.613
Nd 0.000 -0.847 3.266
Nd 2.799 5.326 4.172
Ac 0.000 2.019 0.465
Tl 2.799 -4.009 6.900
Nd 2.799 -1.202 5.517
Ac 2.799 2.460 6.973
Nd 0.000 5.681 1.921
Nd 0.000 2.743 4.453
Tl 0.000 8.489 0.538
Nd 2.799 1.736 2.985
Tl 2.799 4.405 0.826

***

12
Lattice="4.230 0.000 1.277 1.922 3.768 1.277 -0.013 -0.008 7.687" Properties=species:S:1:pos:R:3 comment="Ti3Be8Fe (PBE, relaxed)" e_tot_ev_per_atom=-5.411 m_tot_mub_per_fu=1.97 ef_kj_per_mol_atoms=-24 n_ef_per_ev_cell=5.172 pbc="T T T"
Be 2.674 1.638 2.606
Ti 3.087 1.891 5.062
Be 3.674 3.527 6.993
Ti 6.125 3.751 2.642
Fe 5.381 3.295 5.108
Be 4.811 1.670 6.993
Be 3.636 3.522 3.245
Be 1.149 0.704 3.837
Ti 2.300 1.408 7.671
Be 4.790 1.638 3.245
Be 5.759 3.527 7.623
Be 4.216 2.582 8.966

***

12
Lattice="7.886 0.000 0.000 0.000 7.526 0.000 -3.943 -3.763 7.772" Properties=species:S:1:pos:R:3 comment="K2InSb2Pb (PBE, relaxed)" raw_formation_energy_ev_per_atom=-0.297 e_tot_ev_per_atom=-3.112 m_tot_mub_per_fu=0.00 n_ef_per_ev_cell=2.995 pbc="T T T"
In 0.000 5.644 0.000
Sb 6.067 0.000 1.547
In 0.000 1.881 0.000
Pb 3.943 1.881 0.000
K 2.094 3.763 5.144
Sb 1.818 3.763 1.547
K 6.036 3.763 2.627
K -2.094 0.000 5.144
K 1.849 0.000 2.627
Sb -2.125 3.763 6.224
Sb 2.125 0.000 6.224
Pb 3.943 5.644 0.000

***

6
Lattice="0.000 3.379 3.379 3.379 0.000 3.379 3.379 3.379 0.000" Properties=species:S:1:pos:R:3 comment="Co4OsSe (PBE, relaxed)" raw_formation_energy_ev_per_atom=0.543 e_tot_ev_per_atom=-6.646 m_tot_mub_per_fu=8.07 n_ef_per_ev_cell=7.608 pbc="T T T"
Co 4.221 2.537 4.221
Os 5.068 5.068 5.068
Co 2.537 4.221 4.221
Co 2.537 2.537 2.537
Se 0.000 0.000 0.000
Co 4.221 4.221 2.537